(1)
LiNiB2: optimized geometry, PBE.

a b c (Å): 3.496 3.496 3.496
angles (deg): 60.00 60.00 60.00
Positions (direct):
Li (0.000, 0.000, 0.000)
Ni (0.500, 0.500, 0.500)
B (0.250, 0.250, 0.250)
B (0.750, 0.750, 0.750)

Summary:
**Symmetry**: Fm-3m, No. 225
**ΔH_f (0 K)**: 0.21 eV per atom
**Energy above the most stable polymorph in this dataset**: 330 meV/atom
**E**: -5.05 eV per atom

=====

(2)
LaTb2In: optimized geometry, PBE.

a b c (Å): 3.647 3.647 9.246
angles (deg): 90.00 90.00 90.00
Positions (direct):
La (0.000, 0.000, 0.000)
Tb (0.500, 0.500, 0.280)
Tb (0.500, 0.500, 0.720)
In (0.000, 0.000, 0.500)

Summary:
**Symmetry**: P4/mmm, No. 123
**ΔH_f (0 K)**: -0.24 eV per atom
**Energy above the most stable polymorph in this dataset**: 25 meV/atom
**E**: -4.47 eV per atom

=====

(3)
In16Hg12Bi: optimized geometry, PBE.

a b c (Å): 9.828 9.828 9.753
angles (deg): 107.37 107.37 106.46
Positions (direct):
In (0.000, 0.000, 0.000)
In (0.256, 0.577, 0.910)
In (0.284, 0.684, 0.613)
In (0.299, 0.299, 0.645)
In (0.357, 0.962, 0.988)
In (0.380, 0.635, 0.302)
In (0.557, 0.557, 0.597)
In (0.577, 0.256, 0.910)
In (0.616, 0.961, 0.310)
In (0.635, 0.380, 0.302)
In (0.684, 0.284, 0.613)
In (0.692, 0.973, 0.743)
In (0.961, 0.616, 0.310)
In (0.962, 0.357, 0.988)
In (0.973, 0.692, 0.743)
In (0.974, 0.974, 0.322)
Hg (0.149, 0.344, 0.310)
Hg (0.151, 0.774, 0.149)
Hg (0.153, 0.953, 0.655)
Hg (0.344, 0.149, 0.310)
Hg (0.397, 0.970, 0.522)
Hg (0.587, 0.790, 0.925)
Hg (0.611, 0.611, 0.131)
Hg (0.774, 0.151, 0.149)
Hg (0.774, 0.774, 0.499)
Hg (0.790, 0.587, 0.925)
Hg (0.953, 0.153, 0.655)
Hg (0.970, 0.397, 0.522)
Bi (0.279, 0.279, 0.997)

Summary:
**Symmetry**: Cm, No. 8
**ΔH_f (0 K)**: 0.03 eV per atom
**E**: -1.74 eV per atom

=====

(4)
Sc6AlCu2: optimized geometry, PBE.

a b c (Å): 7.849 7.849 7.849
angles (deg): 111.69 109.43 107.32
Positions (direct):
Sc (0.038, 0.820, 0.218)
Sc (0.241, 0.535, 0.294)
Sc (0.241, 0.947, 0.706)
Sc (0.276, 0.317, 0.592)
Sc (0.276, 0.683, 0.959)
Sc (0.397, 0.180, 0.218)
Sc (0.603, 0.820, 0.782)
Sc (0.724, 0.317, 0.041)
Sc (0.724, 0.683, 0.408)
Sc (0.759, 0.053, 0.294)
Sc (0.759, 0.465, 0.706)
Sc (0.962, 0.180, 0.782)
Al (0.000, 0.500, 0.500)
Al (0.500, 0.000, 0.500)
Cu (0.000, 0.142, 0.142)
Cu (0.000, 0.858, 0.858)
Cu (0.371, 0.371, 0.000)
Cu (0.629, 0.629, 0.000)

Summary:
**Symmetry**: Immm, No. 71
**ΔH_f (0 K)**: -0.23 eV per atom
**E**: -5.77 eV per atom

=====

The records above yield magnetic moment values of 0.00; 0.00; 0.00; 0.00 μB per formula unit, respectively.
The records above yield DOS(E_F) values of 0.2324; 1.0405; 0.3087; 1.0045 states/eV/atom, respectively.